10
Lattice="4.496 0.000 0.000 0.000 4.496 0.000 0.000 0.000 9.849" Properties=species:S:1:pos:R:3 comment="Ac2CuAs4Ir3 (PBE, optimized geometry)" dft_energy_ev_per_atom=-6.474 sg="P-4m2, No. 115" magnetic_moment_mub_per_cell=0.0 pbc="T T T"
Ac 0.000 2.248 2.454
Ac 2.248 0.000 7.395
Cu 0.000 0.000 4.924
As 0.000 0.000 0.000
As 0.000 2.248 6.194
As 2.248 0.000 3.654
As 2.248 2.248 0.000
Ir 0.000 2.248 8.733
Ir 2.248 0.000 1.116
Ir 2.248 2.248 4.924